1.
The following is a PBE-GGA calculation of crystalline CsSr3Be at its relaxed geometry, from Alexandria.

Offset from the most stable computed form ... 0.00 eV per formula unit
Size of the total moment ... 0.00 μB/f.u.
DOS(E_F) ... 6.429 states/eV/cell
SG ... No. 221
Energy ... -1.60 eV/atom

The structure in POSCAR format:
```
CsSr3Be
1.0
6.363 0.000 0.000
0.000 6.363 0.000
0.000 0.000 6.363
Cs Sr Be
1 3 1
direct
0.500 0.500 0.500 Cs
0.000 0.500 0.000 Sr
0.000 0.000 0.500 Sr
0.500 0.000 0.000 Sr
0.000 0.000 0.000 Be
```

---

2.
The following is a PBE-GGA calculation of crystalline CeSc2AlC at its relaxed geometry, from Alexandria.

Size of the total moment ... 0.21 μB/f.u.
DOS(E_F) ... 4.528 states/eV/cell
SG ... No. 123
Energy ... -6.70 eV/atom

The structure in POSCAR format:
```
CeSc2AlC
1.0
-3.767 1.382 -2.657
-0.208 -4.191 -1.885
-2.855 -1.360 3.341
Ce Sc Al C
1 2 1 1
direct
0.500 0.000 0.000 Ce
0.000 0.000 0.500 Sc
0.000 0.500 0.000 Sc
0.500 0.500 0.500 Al
0.000 0.000 0.000 C
```

---

3.
The following is a PBE-GGA calculation of crystalline InGaFe2Pd at its relaxed geometry, from Alexandria.

Size of the total moment ... 6.56 μB/f.u.
DOS(E_F) ... 6.700 states/eV/cell
SG ... No. 123
Energy ... -4.76 eV/atom

The structure in POSCAR format:
```
InGaFe2Pd
1.0
4.765 0.000 0.000
0.000 5.023 0.000
0.000 0.000 4.765
Fe Ga Pd In
2 1 1 1
direct
0.000 0.000 0.500 Fe
0.500 0.000 0.000 Fe
0.500 0.500 0.500 Ga
0.000 0.000 0.000 Pd
0.000 0.500 0.000 In
```

---

4.
The following is a PBE-GGA calculation of crystalline NdEr2Ru at its relaxed geometry, from Alexandria.

Offset from the most stable computed form ... 0.00 eV per formula unit
Size of the total moment ... 0.00 μB/f.u.
DOS(E_F) ... 14.240 states/eV/cell
SG ... No. 62
Energy ... -6.09 eV/atom

The structure in POSCAR format:
```
NdEr2Ru
1.0
-4.447 4.221 1.774
-3.740 -1.351 -6.159
-4.634 -6.682 4.281
Nd Er Ru
4 8 4
direct
0.631 0.540 0.250 Nd
0.869 0.040 0.250 Nd
0.369 0.460 0.750 Nd
0.131 0.960 0.750 Nd
0.166 0.676 0.066 Er
0.334 0.176 0.434 Er
0.834 0.324 0.566 Er
0.666 0.824 0.934 Er
0.834 0.324 0.934 Er
0.666 0.824 0.566 Er
0.166 0.676 0.434 Er
0.334 0.176 0.066 Er
0.052 0.385 0.250 Ru
0.448 0.885 0.250 Ru
0.948 0.615 0.750 Ru
0.552 0.115 0.750 Ru
```

---

What DFT formation energy values result from the calculations? In sequence: 328; -392; 817; -297 meV/atom.